Entry 1:
8
Lattice="2.213 1.278 9.881 -2.213 1.278 9.881 0.000 -2.555 9.881" Properties=species:S:1:pos:R:3 comment="SrGa4PtAu2 (PBE, relaxed)" formation_enthalpy_0k_kcal_per_mol_atoms=-11.3 magnetic_moment_mub_per_cell=0.00 sg="R-3m, No. 166" pbc="T T T"
Sr 0.000 0.000 0.000
Ga 0.000 0.000 4.105
Ga 0.000 0.000 12.235
Ga 0.000 0.000 17.409
Ga 0.000 0.000 25.539
Pt 0.000 0.000 14.822
Au 0.000 0.000 7.775
Au 0.000 0.000 21.869



Entry 2:
10
Lattice="4.546 0.000 0.000 0.000 4.546 0.000 0.000 0.000 10.073" Properties=species:S:1:pos:R:3 comment="Sr2Ga4Pt3Au (PBE, relaxed)" formation_enthalpy_0k_kcal_per_mol_atoms=-18.5 magnetic_moment_mub_per_cell=0.00 sg="P-4m2, No. 115" pbc="T T T"
Sr 0.000 2.273 2.500
Sr 2.273 0.000 7.573
Ga 0.000 0.000 5.037
Ga 0.000 2.273 8.796
Ga 2.273 0.000 1.277
Ga 2.273 2.273 5.037
Pt 0.000 0.000 0.000
Pt 0.000 2.273 6.272
Pt 2.273 0.000 3.801
Au 2.273 2.273 0.000



Entry 3:
10
Lattice="4.489 0.000 0.000 0.000 4.489 0.000 0.000 0.000 10.759" Properties=species:S:1:pos:R:3 comment="Sr2Ga4PtAu3 (PBE, relaxed)" formation_enthalpy_0k_kcal_per_mol_atoms=-15.0 magnetic_moment_mub_per_cell=0.00 sg="P-4m2, No. 115" pbc="T T T"
Sr 0.000 2.245 2.659
Sr 2.245 0.000 8.099
Ga 0.000 0.000 5.379
Ga 0.000 2.245 9.458
Ga 2.245 0.000 1.301
Ga 2.245 2.245 5.379
Pt 2.245 2.245 0.000
Au 0.000 0.000 0.000
Au 0.000 2.245 6.848
Au 2.245 0.000 3.910